The following is a GGA-PBEsol calculation of a geometry-optimized Cs2Sn2Te structure, from Alexandria.

a b c (Å): 5.3665 5.3665 8.3811
angles (deg): 108.67 108.67 90.00
Last column: nearest neighbours and their distance in Å.
Fractional positions:
Cs 0.2500 0.7500 0.5000  4 Sn 3.63, 4 Cs 3.79
Cs 0.7500 0.2500 0.5000  4 Sn 3.63, 4 Cs 3.79
Te 0.0000 0.0000 0.0000  8 Sn 4.01
Sn 0.4141 0.4141 0.8281  1 Sn 2.57
Sn 0.5859 0.5859 0.1719  1 Sn 2.57

Summary:
* energy relative to the elements, uncorrected: 0.14 eV per atom


The following is a GGA-PBEsol calculation of a geometry-optimized Cs3SnTe structure, from Alexandria.

a b c (Å): 7.1765 7.1765 7.1765
angles (deg): 90.00 90.00 90.00
Last column: nearest neighbours and their distance in Å.
Fractional positions:
Cs 0.0000 0.5000 0.0000  2 Te 3.59
Cs 0.0000 0.0000 0.5000  2 Te 3.59
Cs 0.5000 0.0000 0.0000  2 Te 3.59
Te 0.0000 0.0000 0.0000  6 Cs 3.59
Sn 0.5000 0.5000 0.5000  12 Cs 5.07

Summary:
* energy relative to the elements, uncorrected: -0.25 eV per atom
* energy relative to the lowest polymorph listed for this composition: 0.000 eV/atom


The following is a GGA-PBEsol calculation of a geometry-optimized Cs3SnTe3 structure, from Alexandria.

a b c (Å): 10.1850 11.2584 11.2584
angles (deg): 100.91 95.84 84.16
Last column: nearest neighbours and their distance in Å.
Fractional positions:
Cs 0.7500 0.3937 0.3937  6 Te 3.69-3.99
Cs 0.2500 0.6063 0.6063  6 Te 3.69-3.99
Cs 0.7500 0.0897 0.0897  6 Te 3.73-3.87
Cs 0.2500 0.9103 0.9103  6 Te 3.73-3.87
Cs 0.1353 0.2168 0.3994  7 Te 3.83-4.08, 2 Cs 4.18-4.22
Cs 0.3647 0.3994 0.2168  7 Te 3.83-4.08, 2 Cs 4.18-4.22
Cs 0.8647 0.7832 0.6006  7 Te 3.83-4.08, 2 Cs 4.18-4.22
Cs 0.6353 0.6006 0.7832  7 Te 3.83-4.08, 2 Cs 4.18-4.22
Cs 0.3110 0.2422 0.8069  6 Te 3.76-4.19
Cs 0.1890 0.8069 0.2422  6 Te 3.76-4.19
Cs 0.6890 0.7578 0.1931  6 Te 3.76-4.19
Cs 0.8110 0.1931 0.7578  6 Te 3.76-4.19
Sn 0.5479 0.0824 0.4339  3 Te 2.74-2.77, 1 Sn 2.89
Sn 0.9521 0.4339 0.0824  3 Te 2.74-2.77, 1 Sn 2.89
Sn 0.4521 0.9176 0.5661  3 Te 2.74-2.77, 1 Sn 2.89
Sn 0.0479 0.5661 0.9176  3 Te 2.74-2.77, 1 Sn 2.89
Te 0.1798 0.9549 0.5768  1 Sn 2.77
Te 0.3202 0.5768 0.9549  1 Sn 2.77
Te 0.8202 0.0451 0.4232  1 Sn 2.77
Te 0.6798 0.4232 0.0451  1 Sn 2.77
Te 0.5789 0.9495 0.7954  1 Sn 2.74
Te 0.9211 0.7954 0.9495  1 Sn 2.74
Te 0.4211 0.0505 0.2046  1 Sn 2.74
Te 0.0789 0.2046 0.0505  1 Sn 2.74
Te 0.4777 0.3168 0.5508  1 Sn 2.77
Te 0.0223 0.5508 0.3168  1 Sn 2.77
Te 0.5223 0.6832 0.4492  1 Sn 2.77
Te 0.9777 0.4492 0.6832  1 Sn 2.77

Summary:
* energy relative to the elements, uncorrected: -0.86 eV per atom


The following is a GGA-PBEsol calculation of a geometry-optimized CsTi3Sn structure, from Alexandria.

a b c (Å): 5.3751 5.3751 5.3751
angles (deg): 90.00 90.00 90.00
Last column: nearest neighbours and their distance in Å.
Fractional positions:
Cs 0.5000 0.5000 0.5000  12 Ti 3.80
Sn 0.0000 0.0000 0.0000  6 Ti 2.69
Ti 0.0000 0.5000 0.0000  2 Sn 2.69
Ti 0.0000 0.0000 0.5000  2 Sn 2.69
Ti 0.5000 0.0000 0.0000  2 Sn 2.69

Summary:
* ΔH_f (0 K): 1.170 eV per atom


| no. | VASP energy (eV/atom) |
| --- | --- |
| 1 | -2.645 |
| 2 | -2.369 |
| 3 | -3.384 |
| 4 | -4.864 |